La2Sm2Co3 (PBE, relaxed); formation energy = -0.015 eV/atom; spin magnetization = 0.05 μB per atom; E_tot = -5.82 eV per atom
1.0
3.767 0.001 -1.006
-0.542 6.110 -2.038
0.164 -1.522 8.197
La Sm Co
2 2 3
Direct
0.367 0.960 0.732 La
0.633 0.040 0.268 La
0.101 0.491 0.205 Sm
0.899 0.509 0.795 Sm
0.000 0.000 0.000 Co
0.261 0.419 0.521 Co
0.739 0.581 0.479 Co